*P*
PBE NaFe3Ni, optimized geometry; crystal system = cubic
1.0
-2.968 -3.298 0.531
1.612 -0.792 4.092
-2.926 2.910 1.716
Fe Ni Na
3 1 1
Direct
0.000 0.500 0.000
0.500 0.000 0.000
0.000 0.000 0.500
0.000 0.000 0.000
0.500 0.500 0.500

***

*Q*
PBE NaFe3Ni, optimized geometry; crystal system = cubic
1.0
-3.442 1.900 1.836
0.060 -2.959 3.173
2.641 2.543 2.321
Fe Ni Na
3 1 1
Direct
0.500 0.000 0.000
0.000 0.000 0.500
0.000 0.500 0.000
0.500 0.500 0.500
0.000 0.000 0.000

***

Ordering by calculated energy gives the sequence *P*, *Q*, with the first entry being the most stable.